1.
The following is a DFT calculation (PBE) of a relaxed RbErScTe3 crystal.

Computed properties:
Calculated volume (Å³ per cell): 462.96
Raw total energy (eV per atom): -4.75
Raw formation energy (eV per atom): -1.203
Mass density (Mg/m³): 4.88
DOS(E_F) (states/eV per cell): 5.43

Geometry as CIF:
```
data_RbErScTe3
_chemical_formula_sum 'Rb2 Er2 Sc2 Te6'
_space_group_name_H-M_alt 'P 1 21/m 1'
_space_group_IT_number 11
_cell_length_a 9.887
_cell_length_b 4.564
_cell_length_c 10.864
_cell_angle_alpha 90.00
_cell_angle_beta 109.21
_cell_angle_gamma 90.00
loop_
_space_group_symop_operation_xyz
'x,y,z'
'-x,-y,-z'
'-x,y+1/2,-z'
'x,-y+1/2,z'
loop_
_atom_site_label
_atom_site_fract_x
_atom_site_fract_y
_atom_site_fract_z
Rb1 0.209 0.250 0.237
Er1 0.338 0.750 0.866
Sc1 0.084 0.250 0.608
Te1 0.122 0.250 0.874
Te2 0.220 0.750 0.549
Te3 0.465 0.750 0.160
```


2.
The following is a DFT calculation (PBE) of a relaxed RbEr2Se3 crystal.

Computed properties:
Calculated volume (Å³ per cell): 789.81
Raw total energy (eV per atom): -4.95
Raw formation energy (eV per atom): -1.523
Mass density (Mg/m³): 5.52
DOS(E_F) (states/eV per cell): 12.93

Geometry as CIF:
```
data_RbEr2Se3
_chemical_formula_sum 'Rb4 Er8 Se12'
_space_group_name_H-M_alt 'C m c m'
_space_group_IT_number 63
_space_group_name_Hall '-C 2c 2'
_cell_length_a 4.425
_cell_length_b 15.980
_cell_length_c 11.169
_cell_angle_alpha 90.00
_cell_angle_beta 90.00
_cell_angle_gamma 90.00
loop_
_atom_site_label
_atom_site_fract_x
_atom_site_fract_y
_atom_site_fract_z
Rb1 0.000 0.235 0.250
Er1 0.000 0.036 0.750
Er2 0.000 0.500 0.000
Se1 0.000 0.120 0.542
Se2 0.000 0.439 0.750
```


3.
The following is a DFT calculation (PBE) of a relaxed RbErSe2 crystal.

Computed properties:
Calculated volume (Å³ per cell): 367.78
Raw total energy (eV per atom): -4.86
Raw formation energy (eV per atom): -1.731
Mass density (Mg/m³): 5.56
DOS(E_F) (states/eV per cell): 0.00

Geometry as CIF:
```
data_RbErSe2
_chemical_formula_sum 'Rb3 Er3 Se6'
_space_group_name_H-M_alt 'R -3 m'
_space_group_IT_number 166
_space_group_name_Hall '-R 3 2"'
_cell_length_a 4.2101
_cell_length_b 4.2101
_cell_length_c 23.9592
_cell_angle_alpha 90.00
_cell_angle_beta 90.00
_cell_angle_gamma 120.00
loop_
_atom_site_label
_atom_site_fract_x
_atom_site_fract_y
_atom_site_fract_z
Rb1 0.0000 0.0000 0.0000
Er1 0.0000 0.0000 0.5000
Se1 0.0000 0.0000 0.2313
```


4.
The following is a DFT calculation (PBE) of a relaxed RbErSe crystal.

Computed properties:
Calculated volume (Å³ per cell): 429.52
Raw total energy (eV per atom): -3.52
Raw formation energy (eV per atom): -0.515
Mass density (Mg/m³): 5.13
DOS(E_F) (states/eV per cell): 14.87

Geometry as CIF:
```
data_RbErSe
_chemical_formula_sum 'Rb4 Er4 Se4'
_space_group_name_H-M_alt 'A m m 2'
_space_group_IT_number 38
_cell_length_a 16.418
_cell_length_b 3.886
_cell_length_c 6.732
_cell_angle_alpha 90.00
_cell_angle_beta 90.00
_cell_angle_gamma 90.00
loop_
_space_group_symop_operation_xyz
'x,y,z'
'-x,-y,z'
'-x,y,z'
'x,-y,z'
'x,y+1/2,z+1/2'
'-x,-y+1/2,z+1/2'
'-x,y+1/2,z+1/2'
'x,-y+1/2,z+1/2'
loop_
_atom_site_label
_atom_site_fract_x
_atom_site_fract_y
_atom_site_fract_z
Rb1 0.142 0.000 0.000
Er1 0.387 0.000 0.328
Se1 0.000 0.000 0.333
Se2 0.500 0.000 0.995
```


5.
The following is a DFT calculation (PBE) of a relaxed RbErSe2 crystal.

Computed properties:
Calculated volume (Å³ per cell): 369.47
Raw total energy (eV per atom): -4.84
Raw formation energy (eV per atom): -1.715
Mass density (Mg/m³): 5.54
DOS(E_F) (states/eV per cell): 0.00

Geometry as CIF:
```
data_RbErSe2
_chemical_formula_sum 'Rb3 Er3 Se6'
_space_group_name_H-M_alt 'R 3 m'
_space_group_IT_number 160
_space_group_name_Hall 'R 3 -2"'
_cell_length_a 4.1923
_cell_length_b 4.1923
_cell_length_c 24.2744
_cell_angle_alpha 90.00
_cell_angle_beta 90.00
_cell_angle_gamma 120.00
loop_
_atom_site_label
_atom_site_fract_x
_atom_site_fract_y
_atom_site_fract_z
Rb1 0.0000 0.0000 0.0000
Er1 0.0000 0.0000 0.8311
Se1 0.0000 0.0000 0.2290
Se2 0.0000 0.0000 0.4335
```


6.
The following is a DFT calculation (PBE) of a relaxed Rb2Er3Se6 crystal.

Computed properties:
Calculated volume (Å³ per cell): 723.79
Raw total energy (eV per atom): -4.96
Raw formation energy (eV per atom): -1.642
Mass density (Mg/m³): 5.26
DOS(E_F) (states/eV per cell): 15.02

Geometry as CIF:
```
data_Rb2Er3Se6
_chemical_formula_sum 'Rb4 Er6 Se12'
_space_group_name_H-M_alt 'C 1 2/m 1'
_space_group_IT_number 12
_cell_length_a 7.108
_cell_length_b 12.313
_cell_length_c 8.603
_cell_angle_alpha 90.00
_cell_angle_beta 105.99
_cell_angle_gamma 90.00
loop_
_space_group_symop_operation_xyz
'x,y,z'
'-x,-y,-z'
'-x,y,-z'
'x,-y,z'
'x+1/2,y+1/2,z'
'-x+1/2,-y+1/2,-z'
'-x+1/2,y+1/2,-z'
'x+1/2,-y+1/2,z'
loop_
_atom_site_label
_atom_site_fract_x
_atom_site_fract_y
_atom_site_fract_z
Rb1 0.000 0.167 0.000
Er1 0.000 0.000 0.500
Er2 0.000 0.333 0.500
Se1 0.230 0.500 0.692
Se2 0.231 0.166 0.692
```


7.
The following is a DFT calculation (PBE) of a relaxed RbErSe4 crystal.

Computed properties:
Calculated volume (Å³ per cell): 341.01
Raw total energy (eV per atom): -4.39
Raw formation energy (eV per atom): -1.147
Mass density (Mg/m³): 5.54

Geometry as CIF:
```
data_RbErSe4
_chemical_formula_sum 'Rb2 Er2 Se8'
_space_group_name_H-M_alt 'P 4/n b m'
_space_group_IT_number 125
_cell_length_a 6.267
_cell_length_b 6.267
_cell_length_c 8.682
_cell_angle_alpha 90.00
_cell_angle_beta 90.00
_cell_angle_gamma 90.00
loop_
_space_group_symop_operation_xyz
'x,y,z'
'-x,-y,-z'
'-y+1/2,x,z'
'y+1/2,-x,-z'
'-x+1/2,-y+1/2,z'
'x+1/2,y+1/2,-z'
'y,-x+1/2,z'
'-y,x+1/2,-z'
'x,-y+1/2,-z'
'-x,y+1/2,z'
'-y+1/2,-x+1/2,-z'
'y+1/2,x+1/2,z'
'-x+1/2,y,-z'
'x+1/2,-y,z'
'y,x,-z'
'-y,-x,z'
loop_
_atom_site_label
_atom_site_fract_x
_atom_site_fract_y
_atom_site_fract_z
Rb1 0.250 0.250 0.000
Er1 0.250 0.250 0.500
Se1 0.112 0.612 0.304
```


8.
The following is a DFT calculation (PBE) of a relaxed RbEr6Se8 crystal.

Computed properties:
Calculated volume (Å³ per cell): 426.62
Raw total energy (eV per atom): -5.47
Raw formation energy (eV per atom): -1.723
Mass density (Mg/m³): 6.70
DOS(E_F) (states/eV per cell): 10.85

Geometry as CIF:
```
data_RbEr6Se8
_chemical_formula_sum 'Rb1 Er6 Se8'
_space_group_name_H-M_alt 'P -3'
_space_group_IT_number 147
_cell_length_a 10.9090
_cell_length_b 10.9090
_cell_length_c 4.1395
_cell_angle_alpha 90.00
_cell_angle_beta 90.00
_cell_angle_gamma 120.00
loop_
_space_group_symop_operation_xyz
'x,y,z'
'-x,-y,-z'
'-y,x-y,z'
'y,-x+y,-z'
'-x+y,-x,z'
'x-y,x,-z'
loop_
_atom_site_label
_atom_site_fract_x
_atom_site_fract_y
_atom_site_fract_z
Rb1 0.0000 0.0000 0.0000
Er1 0.1383 0.6556 0.7500
Se1 0.0443 0.3567 0.7502
Se2 0.3333 0.6667 0.2497
```


9.
The following is a DFT calculation (PBE) of a relaxed Rb3SmEr2Se6 crystal.

Computed properties:
Calculated volume (Å³ per cell): 750.04
Raw total energy (eV per atom): -4.87
Raw formation energy (eV per atom): -1.732
Mass density (Mg/m³): 5.38
DOS(E_F) (states/eV per cell): 0.00

Geometry as CIF:
```
data_Rb3SmEr2Se6
_chemical_formula_sum 'Rb6 Sm2 Er4 Se12'
_space_group_name_H-M_alt 'C 1 2/m 1'
_space_group_IT_number 12
_cell_length_a 7.359
_cell_length_b 12.746
_cell_length_c 8.365
_cell_angle_alpha 90.00
_cell_angle_beta 107.07
_cell_angle_gamma 90.00
loop_
_space_group_symop_operation_xyz
'x,y,z'
'-x,-y,-z'
'-x,y,-z'
'x,-y,z'
'x+1/2,y+1/2,z'
'-x+1/2,-y+1/2,-z'
'-x+1/2,y+1/2,-z'
'x+1/2,-y+1/2,z'
loop_
_atom_site_label
_atom_site_fract_x
_atom_site_fract_y
_atom_site_fract_z
Rb1 0.000 0.000 0.000
Rb2 0.000 0.335 0.000
Sm1 0.000 0.500 0.500
Er1 0.000 0.167 0.500
Se1 0.225 0.000 0.695
Se2 0.235 0.330 0.696
```


10.
The following is a DFT calculation (PBE) of a relaxed RbSmEr4Se8 crystal.

Computed properties:
Calculated volume (Å³ per cell): 1358.85
Raw total energy (eV per atom): -5.41
Raw formation energy (eV per atom): -1.706
Mass density (Mg/m³): 5.63
DOS(E_F) (states/eV per cell): 0.00

Geometry as CIF:
```
data_RbSmEr4Se8
_chemical_formula_sum 'Rb3 Sm3 Er12 Se24'
_space_group_name_H-M_alt 'R 3 m'
_space_group_IT_number 160
_space_group_name_Hall 'R 3 -2"'
_cell_length_a 8.5556
_cell_length_b 8.5556
_cell_length_c 21.4359
_cell_angle_alpha 90.00
_cell_angle_beta 90.00
_cell_angle_gamma 120.00
loop_
_atom_site_label
_atom_site_fract_x
_atom_site_fract_y
_atom_site_fract_z
Rb1 0.0000 0.0000 0.0000
Sm1 0.0000 0.0000 0.3641
Er1 0.0000 0.0000 0.7443
Er2 0.0116 0.5058 0.8716
Se1 0.0000 0.0000 0.1398
Se2 0.0000 0.0000 0.6128
Se3 0.0161 0.5081 0.1234
Se4 0.1876 0.3751 0.9442
```